{
  "formula": "ZrZnAs2",
  "functional": "PBE",
  "state": "optimized geometry",
  "density_g_cm3": 4.85,
  "formation_energy_ev_per_atom": -0.33,
  "total_magnetization_mub_per_cell": 0.00,
  "lattice": [[-2.9883, 2.9883, 5.8775], [2.9883, -2.9883, 5.8775], [2.9883, 2.9883, -5.8775]],
  "species": ["Zr", "Zr", "Zn", "Zn", "As", "As", "As", "As"],
  "frac_coords": [[0.0000, 0.0000, 0.0000], [0.7500, 0.2500, 0.5000], [0.2500, 0.7500, 0.5000], [0.5000, 0.5000, 0.0000], [0.1394, 0.6250, 0.0144], [0.3750, 0.3894, 0.5144], [0.6106, 0.1250, 0.9856], [0.8750, 0.8606, 0.4856]]
}